Entry 1:
The following is a PBE calculation of HfPI after structural relaxation, from Alexandria.

a b c (Å): 3.883 5.139 9.750
angles (deg): 90.00 90.00 90.00
Space group Pmmn (No. 59, origin choice 2)
Unique sites:
Hf1 0.250 0.250 0.089 x2
P1 0.250 0.750 0.085 x2
I1 0.250 0.750 0.682 x2

Properties
For the uncorrected energy, the calculation gives -6.573 eV per atom.

---

Entry 2:
The following is a PBE calculation of CdRu2Br after structural relaxation, from Alexandria.

a b c (Å): 7.148 7.148 5.831
angles (deg): 90.00 90.00 90.00
Space group I-42d (No. 122)
Unique sites:
Cd1 0.000 0.000 0.000 x4
Ru1 0.194 0.250 0.625 x8
Br1 0.000 0.000 0.500 x4

Properties
For the uncorrected energy, the calculation gives -4.226 eV per atom.

---

Entry 3:
The following is a PBE calculation of CsTlCu2Cl4 after structural relaxation, from Alexandria.

a b c (Å): 7.578 8.188 8.546
angles (deg): 90.00 90.00 90.00
Space group I222 (No. 23)
Unique sites:
Cs1 0.000 0.000 0.000 x2
Tl1 0.000 0.000 0.500 x2
Cu1 0.000 0.500 0.170 x4
Cl1 0.203 0.324 0.800 x8

Properties
For the uncorrected energy, the calculation gives -3.335 eV per atom.

---

Entry 4:
The following is a PBE calculation of CdTcTe3 after structural relaxation, from Alexandria.

a b c (Å): 5.547 5.547 5.547
angles (deg): 90.00 90.00 90.00
Space group Pm-3m (No. 221)
Unique sites:
Cd1 0.000 0.000 0.000 x1
Tc1 0.500 0.500 0.500 x1
Te1 0.000 0.000 0.500 x3

Properties
For the uncorrected energy, the calculation gives -2.910 eV per atom.

---

Entry 5:
The following is a PBE calculation of TaMoW after structural relaxation, from Alexandria.

a b c (Å): 4.5244 4.5244 2.8121
angles (deg): 90.00 90.00 120.00
Space group P3m1 (No. 156)
Unique sites:
Ta1 0.0000 0.0000 0.0000 x1
Mo1 0.3333 0.6667 0.6689 x1
W1 0.6667 0.3333 0.3524 x1

Properties
For the formation energy, the calculation gives -0.31 eV/f.u. For the uncorrected energy, the calculation gives -11.983 eV per atom.

---

Entry 6:
The following is a PBE calculation of Pt2PbBr after structural relaxation, from Alexandria.

a b c (Å): 3.626 3.626 7.582
angles (deg): 90.00 90.00 90.00
Space group P4mm (No. 99)
Unique sites:
Pt1 0.000 0.000 0.000 x1
Pt2 0.500 0.500 0.076 x1
Pb1 0.500 0.500 0.708 x1
Br1 0.000 0.000 0.463 x1

Properties
For the uncorrected energy, the calculation gives -4.281 eV per atom.

---

- Which of these has the lowest uncorrected energy?
  TaMoW